## NaSrLaWO6 (PBE+U)

Data for NaSrLaWO6 after structural relaxation.

Properties
Energy relative to the lowest polymorph listed for this composition ... 0.0000 eV per atom
Space-group type ... F-43m, No. 216

Cell and atoms, written as POSCAR:
```
NaSrLaWO6
1.0
1.9148 -4.9744 -2.9190
-3.8353 -4.6097 -0.9863
-1.9665 -1.1649 -5.6309
Na Sr La W O
1 1 1 1 6
Direct
0.7500 0.7500 0.7500
0.2500 0.2500 0.2500
0.0000 0.0000 0.0000
0.5000 0.5000 0.5000
0.2730 0.7270 0.2730
0.7270 0.2730 0.7270
0.2730 0.7270 0.7270
0.7270 0.2730 0.2730
0.2730 0.2730 0.7270
0.7270 0.7270 0.2730
```